Computed, not measured: a relaxed DyHfPd2 crystal at the PBE-GGA level of DFT.

Geometry as extended XYZ:
```
4
Lattice="-0.512 3.906 -0.493 -3.664 1.503 -0.272 -1.545 2.594 6.179" Properties=species:S:1:pos:R:3 pbc="T T T"
Hf 0.000 0.000 0.000
Pd -4.295 6.026 4.259
Pd -1.426 1.976 1.156
Dy -2.861 4.001 2.707
```

D(E_F) = 1.68 states/eV/cell
final energy = -6.81 eV per atom